# YHo6Er2, relaxed, DFT PBE
data_YHo6Er2
_symmetry_space_group_name_H-M 'P 1'
_symmetry_Int_Tables_number 1
_symmetry_space_group_name_Hall 'P 1'
_cell_length_a 6.909
_cell_length_b 6.909
_cell_length_c 8.549
_cell_angle_alpha 66.17
_cell_angle_beta 66.17
_cell_angle_gamma 60.00
loop_
_atom_site_label
_atom_site_fract_x
_atom_site_fract_y
_atom_site_fract_z
Ho1 0.280 0.771 0.668
Ho2 0.053 0.053 0.330
Ho3 0.563 0.053 0.330
Ho4 0.281 0.280 0.668
Ho5 0.053 0.563 0.330
Ho6 0.771 0.281 0.668
Y1 0.334 0.334 0.998
Er1 0.582 0.582 0.255
Er2 0.748 0.748 0.756
# Energy of formation   0.402 eV/atom
# Magnetic moment   0.0000 μB/atom

---

# Tl2Cr, relaxed, DFT PBE
data_Tl2Cr
_symmetry_space_group_name_H-M 'P 1'
_symmetry_Int_Tables_number 1
_symmetry_space_group_name_Hall 'P 1'
_cell_length_a 13.447
_cell_length_b 13.447
_cell_length_c 13.447
_cell_angle_alpha 165.83
_cell_angle_beta 165.83
_cell_angle_gamma 20.09
loop_
_atom_site_label
_atom_site_fract_x
_atom_site_fract_y
_atom_site_fract_z
Cr1 0.000 0.000 0.000
Cr2 0.750 0.250 0.500
Tl1 0.322 0.822 0.500
Tl2 0.178 0.678 0.500
Tl3 0.572 0.572 0.000
Tl4 0.428 0.428 0.000
# Energy of formation   0.519 eV/atom
# Magnetic moment   1.3099 μB/atom

---

> What is the energy of formation in the first record?

0.402 eV/atom

---

> What is the formula in the first record?

YHo6Er2

---

> The lowest energy of formation belongs to which entry?

YHo6Er2

---

> Which of these has the highest magnetic moment?

Tl2Cr